Entry 1:
Density functional theory data (GGA-PBE) for a relaxed structure of La3HoEr5.

Unit cell a=7.3880 b=7.3880 c=13.0523 alpha=103.03 beta=103.03 gamma=67.91
Element x y z (fractional)
La1 0.0000 0.0000 0.0000
La2 0.0000 0.0000 0.5000
La3 0.2659 0.2659 0.5174
La4 0.3523 0.3523 0.7749
La5 0.6477 0.6477 0.2251
La6 0.7341 0.7341 0.4826
Ho1 0.1615 0.1615 0.2471
Ho2 0.8385 0.8385 0.7529
Er1 0.0975 0.6970 0.2127
Er2 0.2632 0.2632 0.0198
Er3 0.3030 0.9025 0.7873
Er4 0.3212 0.6788 0.0000
Er5 0.4503 0.4503 0.3769
Er6 0.5497 0.5497 0.6231
Er7 0.6788 0.3212 0.0000
Er8 0.6970 0.0975 0.2127
Er9 0.7368 0.7368 0.9802
Er10 0.9025 0.3030 0.7873

Output
Space-group type: C2/m
Formation enthalpy at 0 K, meV per atom: 437
Magnetic moment, μB/cell: 0.001

Entry 2:
Density functional theory data (GGA-PBE) for a relaxed structure of La9HoEr4.

Unit cell a=10.0347 b=10.0347 c=11.4916 alpha=90.00 beta=90.00 gamma=120.00
Element x y z (fractional)
La1 0.0774 0.5387 0.2500
La2 0.2071 0.4142 0.5289
La3 0.2071 0.4142 0.9711
La4 0.2071 0.7929 0.5289
La5 0.2071 0.7929 0.9711
La6 0.4142 0.2071 0.0289
La7 0.4142 0.2071 0.4711
La8 0.4613 0.5387 0.2500
La9 0.4613 0.9226 0.2500
La10 0.5387 0.0774 0.7500
La11 0.5387 0.4613 0.7500
La12 0.5858 0.7929 0.5289
La13 0.5858 0.7929 0.9711
La14 0.7929 0.2071 0.0289
La15 0.7929 0.2071 0.4711
La16 0.7929 0.5858 0.0289
La17 0.7929 0.5858 0.4711
La18 0.9226 0.4613 0.7500
Ho1 0.3333 0.6667 0.7500
Ho2 0.6667 0.3333 0.2500
Er1 0.0000 0.0000 0.0000
Er2 0.0000 0.0000 0.5000
Er3 0.1091 0.2181 0.2500
Er4 0.1091 0.8909 0.2500
Er5 0.2181 0.1091 0.7500
Er6 0.7819 0.8909 0.2500
Er7 0.8909 0.1091 0.7500
Er8 0.8909 0.7819 0.7500

Output
Space-group type: P6_3/mmc
Formation enthalpy at 0 K, meV per atom: 144
Magnetic moment, μB/cell: 0.000

Entry 3:
Density functional theory data (GGA-PBE) for a relaxed structure of LaHo12Er5.

Unit cell a=9.9095 b=9.9095 c=6.8690 alpha=90.00 beta=90.00 gamma=122.01
Element x y z (fractional)
La1 0.0000 0.0000 0.0000
Ho1 0.0232 0.3431 0.2454
Ho2 0.0232 0.3431 0.7546
Ho3 0.1642 0.1642 0.5000
Ho4 0.3379 0.3379 0.0000
Ho5 0.3431 0.0232 0.2454
Ho6 0.3431 0.0232 0.7546
Ho7 0.6569 0.9768 0.2454
Ho8 0.6569 0.9768 0.7546
Ho9 0.6621 0.6621 0.0000
Ho10 0.8358 0.8358 0.5000
Ho11 0.9768 0.6569 0.2454
Ho12 0.9768 0.6569 0.7546
Er1 0.3060 0.6940 0.5000
Er2 0.3076 0.6924 0.0000
Er3 0.5000 0.5000 0.5000
Er4 0.6924 0.3076 0.0000
Er5 0.6940 0.3060 0.5000

Output
Space-group type: Cmmm
Formation enthalpy at 0 K, meV per atom: 151
Magnetic moment, μB/cell: 0.015

Entry 4:
Density functional theory data (GGA-PBE) for a relaxed structure of La3HoEr8.

Unit cell a=8.3979 b=8.3979 c=8.3979 alpha=116.72 beta=116.72 gamma=95.78
Element x y z (fractional)
La1 0.0000 0.0000 0.0000
La2 0.2500 0.7500 0.5000
La3 0.7500 0.2500 0.5000
Ho1 0.5000 0.5000 0.0000
Er1 0.1325 0.1325 0.7513
Er2 0.2427 0.7265 0.0000
Er3 0.2735 0.2735 0.5162
Er4 0.3811 0.3811 0.2487
Er5 0.6189 0.8675 0.0000
Er6 0.7265 0.2427 0.0000
Er7 0.7573 0.7573 0.4838
Er8 0.8675 0.6189 0.0000

Output
Space-group type: I-42m
Formation enthalpy at 0 K, meV per atom: 614
Magnetic moment, μB/cell: 0.001

Entry 5:
Density functional theory data (GGA-PBE) for a relaxed structure of LaHo2Er3.

Unit cell a=9.4386 b=9.4386 c=11.5369 alpha=90.00 beta=90.00 gamma=158.16
Element x y z (fractional)
La1 0.2212 0.7788 0.7500
La2 0.7788 0.2212 0.2500
Ho1 0.0000 0.0000 0.0000
Ho2 0.0000 0.0000 0.5000
Ho3 0.4460 0.5540 0.2500
Ho4 0.5540 0.4460 0.7500
Er1 0.1080 0.8920 0.2500
Er2 0.3349 0.6651 0.5046
Er3 0.3349 0.6651 0.9954
Er4 0.6651 0.3349 0.0046
Er5 0.6651 0.3349 0.4954
Er6 0.8920 0.1080 0.7500

Output
Space-group type: Cmcm
Formation enthalpy at 0 K, meV per atom: 25
Magnetic moment, μB/cell: 0.001

Entry 6:
Density functional theory data (GGA-PBE) for a relaxed structure of La2Ho12Er5.

Unit cell a=9.1270 b=9.1270 c=8.4746 alpha=90.79 beta=90.79 gamma=60.51
Element x y z (fractional)
La1 0.1900 0.8100 0.0000
La2 0.8100 0.1900 0.0000
Ho1 0.0582 0.0582 0.3256
Ho2 0.0660 0.6834 0.3534
Ho3 0.1601 0.5219 0.7538
Ho4 0.3166 0.9340 0.6466
Ho5 0.4034 0.4034 0.1169
Ho6 0.4781 0.8399 0.2462
Ho7 0.5219 0.1601 0.7538
Ho8 0.5966 0.5966 0.8831
Ho9 0.6834 0.0660 0.3534
Ho10 0.8399 0.4781 0.2462
Ho11 0.9340 0.3166 0.6466
Ho12 0.9418 0.9418 0.6744
Er1 0.1964 0.1964 0.0062
Er2 0.2669 0.2669 0.4218
Er3 0.5000 0.5000 0.5000
Er4 0.7331 0.7331 0.5782
Er5 0.8036 0.8036 0.9938

Output
Space-group type: C2/m
Formation enthalpy at 0 K, meV per atom: 140
Magnetic moment, μB/cell: 0.000